Entry 1:
DFT (meta-GGA SCAN) results for a crystal of Re3BiAs relaxed with PBEsol.

* DFT formation energy: 8.372 eV per formula unit
* ρ: 14.37 g/cm³

```
Re3BiAs
1.0
4.6006 0.0000 0.0000
0.0000 4.6006 0.0000
0.0000 0.0000 4.6006
Re Bi As
3 1 1
Direct
0.0000 0.0000 0.5000
0.0000 0.5000 0.0000
0.5000 0.0000 0.0000
0.5000 0.5000 0.5000
0.0000 0.0000 0.0000
```

Entry 2:
DFT (meta-GGA SCAN) results for a crystal of BiAs2RuSe relaxed with PBEsol.

* formation energy without anion corrections: 1.729 eV/atom
* ρ: 6.03 g/cm³

```
BiAs2RuSe
1.0
5.2874 0.0000 0.0000
0.0000 5.2874 0.0000
0.0000 0.0000 5.3045
Bi As Ru Se
1 2 1 1
Direct
0.0000 0.0000 0.0000
0.0000 0.5000 0.0000
0.5000 0.0000 0.0000
0.5000 0.5000 0.5000
0.0000 0.0000 0.5000
```

Entry 3:
DFT (meta-GGA SCAN) results for a crystal of BiAsS2 relaxed with PBEsol.

* ΔE to the lowest computed polymorph: 0.89 eV/f.u.
* formation energy without anion corrections: 0.361 eV/atom
* ρ: 7.46 g/cm³

```
BiAsS2
1.0
6.7680 0.0000 0.0000
0.0000 6.7680 0.0000
0.0000 0.0000 6.7680
Bi As S
4 4 8
Direct
0.0000 0.0000 0.0000
0.0000 0.5000 0.5000
0.5000 0.0000 0.5000
0.5000 0.5000 0.0000
0.0000 0.0000 0.5000
0.0000 0.5000 0.0000
0.5000 0.0000 0.0000
0.5000 0.5000 0.5000
0.2500 0.2500 0.2500
0.2500 0.2500 0.7500
0.2500 0.7500 0.2500
0.2500 0.7500 0.7500
0.7500 0.2500 0.2500
0.7500 0.2500 0.7500
0.7500 0.7500 0.2500
0.7500 0.7500 0.7500
```

no.,V (Å³/cell),N(E_F) (states/eV per atom)
1,97.4,0.56
2,148.3,1.03
3,310.0,0.45